# Sm2TmHf PBE relaxed
data_Sm2TmHf
_cell_length_a 3.3550
_cell_length_b 3.3550
_cell_length_c 36.1814
_cell_angle_alpha 90.00
_cell_angle_beta 90.00
_cell_angle_gamma 120.00
_space_group_name_H-M_alt 'R -3 m'
_space_group_IT_number 166
_space_group_name_Hall '-R 3 2"'
loop_
_atom_site_label
_atom_site_type_symbol
_atom_site_fract_x
_atom_site_fract_y
_atom_site_fract_z
Sm1 Sm 0.0000 0.0000 0.0862
Tm1 Tm 0.0000 0.0000 0.5000
Hf1 Hf 0.0000 0.0000 0.0000
# - Total moment: 0.00 μB/f.u.
# - Offset from the most stable computed form: 20.9 kJ/mol of atoms
# - V: 29.391 Å³ per atom
# - E_tot: -5.6017 eV/atom
# - Formation energy from the elements: 1.46 eV per formula unit